# La4ErHg5 (PBE-GGA, optimized geometry)
data_La4ErHg5
_space_group_name_H-M_alt 'P 4/m m m'
_space_group_IT_number 123
_space_group_name_Hall '-P 4 2'
_cell_length_a 3.836
_cell_length_b 3.836
_cell_length_c 19.631
_cell_angle_alpha 90.00
_cell_angle_beta 90.00
_cell_angle_gamma 90.00
loop_
_atom_site_label
_atom_site_fract_x
_atom_site_fract_y
_atom_site_fract_z
La1 0.000 0.000 0.102
La2 0.000 0.000 0.307
Er1 0.000 0.000 0.500
Hg1 0.500 0.500 0.000
Hg2 0.500 0.500 0.204
Hg3 0.500 0.500 0.413
# density of states at the Fermi level = 11.68 states/eV/cell
# energy = -0.1128 hartree per atom
# energy of formation from the pure elements = -4.91 eV per formula unit
# M_tot = 1.62 μB/f.u.
# V = 28.9 Å³ per atom